1.
The following is a PBE calculation of an optimized crystal structure of YAlNi2, from Alexandria.

Properties
Volume ... 19.67 Å³/atom
Mass density ... 4.9 g cm⁻³
Total energy ... -5.538 eV per atom
Formation enthalpy at 0 K ... -9.2 kJ/mol of atoms
Spin magnetization ... 0.000 μB/atom
Density of states at the Fermi level ... 1.41 states/eV/atom

Cell: 4.4339 4.4339 16.0078 Å, 90.00 90.00 90.00°
Last column: nearest neighbours and their distance in Å.
Space group I-42d (No. 122)
Symmetry-distinct sites (fractional):
Y (0.0000, 0.0000, 0.0000) [4 per cell]  4 Ni 2.99, 4 Al 3.14
Al (0.0000, 0.0000, 0.5000) [4 per cell]  4 Ni 2.31
Ni (0.0663, 0.2500, 0.6250) [8 per cell]  2 Ni 2.29, 2 Al 2.31

2.
The following is a PBE calculation of an optimized crystal structure of Ca8Ga2Pb, from Alexandria.

Properties
Volume ... 31.95 Å³/atom
Relative energy among the computed polymorphs ... 0.011 eV/atom
Mass density ... 3.2 g cm⁻³
Total energy ... -2.666 eV per atom
Formation enthalpy at 0 K ... -31.2 kJ/mol of atoms
Spin magnetization ... 0.000 μB/atom
Density of states at the Fermi level ... 0.61 states/eV/atom

Cell: 5.4390 7.4914 9.7859 Å, 67.56 73.88 90.00°
Last column: nearest neighbours and their distance in Å.
Space group P1 (No. 1)
Symmetry-distinct sites (fractional):
Ca (0.0000, 0.0000, 0.0000) [1 per cell]  1 Pb 3.26, 3 Ga 3.33-3.53, 3 Ca 3.50-3.54
Ca (0.0457, 0.5055, 0.9093) [1 per cell]  3 Ga 3.16-3.23, 2 Ca 3.50
Ca (0.2297, 0.3788, 0.5403) [1 per cell]  1 Ga 3.09, 2 Pb 3.43
Ca (0.3351, 0.9024, 0.3287) [1 per cell]  2 Ga 3.11, 2 Pb 3.45, 2 Ca 3.48
Ca (0.4424, 0.5921, 0.1154) [1 per cell]  1 Ga 3.09, 2 Pb 3.43
Ca (0.6265, 0.0873, 0.7473) [1 per cell]  3 Ga 3.16-3.23, 2 Ca 3.50
Ca (0.6720, 0.6720, 0.6564) [1 per cell]  1 Pb 3.26, 3 Ga 3.33-3.54, 3 Ca 3.50-3.54
Ca (0.8352, 0.1925, 0.3281) [1 per cell]  1 Pb 3.20, 2 Ca 3.48
Ga (0.1758, 0.9319, 0.6498) [1 per cell]  7 Ca 3.09-3.33
Ga (0.4966, 0.2526, 0.0081) [1 per cell]  7 Ca 3.09-3.33
Pb (0.8356, 0.6201, 0.3280) [1 per cell]  9 Ca 3.20-3.45

3.
The following is a PBE calculation of an optimized crystal structure of Np2SnPb, from Alexandria.

Properties
Volume ... 26.23 Å³/atom
Relative energy among the computed polymorphs ... 0.012 eV/atom
Mass density ... 12.7 g cm⁻³
Total energy ... -8.264 eV per atom
Formation enthalpy at 0 K ... 12.9 kJ/mol of atoms
Spin magnetization ... 2.368 μB/atom
Density of states at the Fermi level ... 3.35 states/eV/atom

Cell: 4.7103 4.7103 4.7285 Å, 90.00 90.00 90.00°
Last column: nearest neighbours and their distance in Å.
Space group P4/mmm (No. 123)
Symmetry-distinct sites (fractional):
Np (0.0000, 0.5000, 0.0000) [2 per cell]  4 Np 3.33, 4 Pb 3.34, 4 Sn 3.34
Sn (0.0000, 0.0000, 0.5000) [1 per cell]  4 Pb 3.33, 8 Np 3.34
Pb (0.5000, 0.5000, 0.5000) [1 per cell]  4 Sn 3.33, 8 Np 3.34

4.
The following is a PBE calculation of an optimized crystal structure of BaBePtO5, from Alexandria.

Properties
Volume ... 13.06 Å³/atom
Mass density ... 6.7 g cm⁻³
Total energy ... -5.977 eV per atom
Spin magnetization ... 0.168 μB/atom
Density of states at the Fermi level ... 0.81 states/eV/atom

Cell: 6.7621 9.2388 7.2938 Å, 90.00 113.47 90.00°
Last column: nearest neighbours and their distance in Å.
Space group C2/c (No. 15)
Symmetry-distinct sites (fractional):
Ba (0.0000, 0.1526, 0.2500) [4 per cell]  7 O 2.56-2.81
Be (0.0000, 0.2043, 0.7500) [4 per cell]  4 O 1.63-1.77
Pt (0.0000, 0.5000, 0.0000) [4 per cell]  6 O 1.94-2.05
O (0.0000, 0.4299, 0.2500) [4 per cell]  2 Pt 1.94
O (0.0891, 0.2992, 0.6112) [8 per cell]  1 Be 1.63
O (0.1957, 0.0838, 0.9094) [8 per cell]  1 Be 1.77

5.
The following is a PBE calculation of an optimized crystal structure of Ba2NiCl6, from Alexandria.

Properties
Volume ... 32.15 Å³/atom
Relative energy among the computed polymorphs ... 0.112 eV/atom
Mass density ... 3.1 g cm⁻³
Total energy ... -4.064 eV per atom
Spin magnetization ... 0.225 μB/atom

Cell: 6.6580 6.6580 13.0567 Å, 90.00 90.00 90.00°
Last column: nearest neighbours and their distance in Å.
Space group P4_2/mnm (No. 136)
Symmetry-distinct sites (fractional):
Ba (0.0000, 0.0000, 0.1663) [4 per cell]  6 Cl 3.06-3.12
Ni (0.0000, 0.0000, 0.5000) [2 per cell]  6 Cl 2.44-2.47
Cl (0.1777, 0.1777, 0.3643) [8 per cell]  1 Ni 2.44
Cl (0.2376, 0.2376, 0.0000) [4 per cell]  1 Ni 2.47

6.
The following is a PBE calculation of an optimized crystal structure of LaPmNO, from Alexandria.

Properties
Volume ... 16.94 Å³/atom
Mass density ... 7.7 g cm⁻³
Total energy ... -7.912 eV per atom
Spin magnetization ... 0.000 μB/atom
Density of states at the Fermi level ... 0.19 states/eV/atom

Cell: 3.6317 3.6317 5.1370 Å, 90.00 90.00 90.00°
Last column: nearest neighbours and their distance in Å.
Space group P4/mmm (No. 123)
Symmetry-distinct sites (fractional):
La (0.0000, 0.0000, 0.0000) [1 per cell]  4 O 2.57, 2 N 2.57
Pm (0.5000, 0.5000, 0.5000) [1 per cell]  4 N 2.57, 2 O 2.57
N (0.0000, 0.0000, 0.5000) [1 per cell]  4 Pm 2.57, 2 La 2.57
O (0.5000, 0.5000, 0.0000) [1 per cell]  4 La 2.57, 2 Pm 2.57

7.
The following is a PBE calculation of an optimized crystal structure of SrIn5Hg6, from Alexandria.

Properties
Volume ... 26.87 Å³/atom
Relative energy among the computed polymorphs ... 0.000 eV/atom
Mass density ... 9.6 g cm⁻³
Total energy ... -1.568 eV per atom
Formation enthalpy at 0 K ... -13.1 kJ/mol of atoms
Spin magnetization ... 0.000 μB/atom
Density of states at the Fermi level ... 0.40 states/eV/atom

Cell: 4.9972 8.2099 9.2030 Å, 116.43 105.60 90.05°
Last column: nearest neighbours and their distance in Å.
Space group P-1 (No. 2)
Symmetry-distinct sites (fractional):
Sr (0.0000, 0.0000, 0.0000) [1 per cell]  8 Hg 3.34-3.40, 4 In 3.63
In (0.0000, 0.5000, 0.0000) [1 per cell]  8 Hg 3.12-3.33
In (0.3253, 0.3261, 0.6506) [2 per cell]  8 Hg 3.19-3.34, 2 In 3.52-3.53
In (0.3336, 0.8320, 0.6654) [2 per cell]  8 Hg 3.25-3.45, 2 In 3.52-3.53, 2 Sr 3.63
Hg (0.1685, 0.4258, 0.3377) [2 per cell]  7 In 3.19-3.32, 1 Sr 3.39, 1 Hg 3.57
Hg (0.1689, 0.9127, 0.3390) [2 per cell]  7 In 3.20-3.33, 1 Sr 3.40, 2 Hg 3.55-3.57
Hg (0.5000, 0.2703, 0.9980) [2 per cell]  6 In 3.12-3.45, 2 Sr 3.34-3.35

8.
The following is a PBE calculation of an optimized crystal structure of Lu3Cu, from Alexandria.

Properties
Volume ... 24.61 Å³/atom
Mass density ... 9.9 g cm⁻³
Total energy ... -4.511 eV per atom
Formation enthalpy at 0 K ... -9.3 kJ/mol of atoms
Spin magnetization ... 0.000 μB/atom
Density of states at the Fermi level ... 0.93 states/eV/atom

Cell: 3.5308 5.1444 10.8411 Å, 90.00 90.00 90.00°
Last column: nearest neighbours and their distance in Å.
Space group Immm (No. 71)
Symmetry-distinct sites (fractional):
Lu (0.0000, 0.0000, 0.0000) [2 per cell]  4 Cu 3.12, 4 Lu 3.40
Lu (0.0000, 0.5000, 0.2046) [4 per cell]  2 Cu 2.83
Cu (0.0000, 0.0000, 0.5000) [2 per cell]  8 Lu 2.83-3.12

9.
The following is a PBE calculation of an optimized crystal structure of PmSbAu, from Alexandria.

Properties
Volume ... 26.02 Å³/atom
Relative energy among the computed polymorphs ... 0.000 eV/atom
Mass density ... 9.9 g cm⁻³
Total energy ... -4.888 eV per atom
Spin magnetization ... 0.000 μB/atom
Density of states at the Fermi level ... 0.52 states/eV/atom

Cell: 4.5808 4.5808 4.2958 Å, 90.00 90.00 120.00°
Last column: nearest neighbours and their distance in Å.
Space group P3m1 (No. 156)
Symmetry-distinct sites (fractional):
Pm (0.0000, 0.0000, 0.0000) [1 per cell]  3 Au 3.11, 3 Sb 3.29
Sb (0.3333, 0.6667, 0.5433) [1 per cell]  3 Au 2.74
Au (0.6667, 0.3333, 0.3795) [1 per cell]  3 Sb 2.74

10.
The following is a PBE calculation of an optimized crystal structure of Be2PbSeO8, from Alexandria.

Properties
Volume ... 11.15 Å³/atom
Mass density ... 5.4 g cm⁻³
Total energy ... -5.374 eV per atom
Spin magnetization ... 0.334 μB/atom
Density of states at the Fermi level ... 0.35 states/eV/atom

Cell: 4.6948 4.6948 7.0092 Å, 90.00 90.00 120.00°
Last column: nearest neighbours and their distance in Å.
Space group P-3 (No. 147)
Symmetry-distinct sites (fractional):
Be (0.3333, 0.6667, 0.2077) [2 per cell]  4 O 1.61-1.67
Pb (0.0000, 0.0000, 0.5000) [1 per cell]  12 O 2.74-2.82
Se (0.0000, 0.0000, 0.0000) [1 per cell]  6 O 1.80
O (0.0205, 0.3161, 0.1541) [6 per cell]  1 Be 1.61, 1 Se 1.80
O (0.3333, 0.6667, 0.4457) [2 per cell]  1 Be 1.67

11.
The following is a PBE calculation of an optimized crystal structure of PmPrAlZn, from Alexandria.

Properties
Volume ... 25.70 Å³/atom
Relative energy among the computed polymorphs ... 0.004 eV/atom
Mass density ... 6.1 g cm⁻³
Total energy ... -3.963 eV per atom
Formation enthalpy at 0 K ... -31.5 kJ/mol of atoms
Spin magnetization ... 0.000 μB/atom
Density of states at the Fermi level ... 1.07 states/eV/atom

Cell: 7.4365 7.4365 7.4365 Å, 90.00 90.00 90.00°
Last column: nearest neighbours and their distance in Å.
Space group F-43m (No. 216)
Symmetry-distinct sites (fractional):
Pm (0.0000, 0.0000, 0.0000) [4 per cell]  4 Zn 3.22, 4 Al 3.22
Pr (0.0000, 0.0000, 0.5000) [4 per cell]  4 Al 3.22, 4 Zn 3.22
Al (0.2500, 0.2500, 0.7500) [4 per cell]  4 Pr 3.22, 4 Pm 3.22
Zn (0.2500, 0.2500, 0.2500) [4 per cell]  4 Pr 3.22, 4 Pm 3.22